Sc2CuPt | GGA-PBEsol | relaxed

Cell lengths 3.215, 3.297, 6.381 Å; angles 90.00, 90.00, 90.00 degrees
Sites, in units of the cell vectors:
Sc (0.000, 0.000, 0.248)
Sc (0.000, 0.000, 0.752)
Cu (0.500, 0.500, 0.000)
Pt (0.500, 0.500, 0.500)

Properties
The value obtained for the total energy is -6.87 eV/atom. For the size of the total moment, the calculation gives 0.00 μB/f.u. The value obtained for the volume is 16.91 A^3/atom.

=====

ScCu2Pt | GGA-PBEsol | relaxed

Cell lengths 5.180, 5.180, 2.836 Å; angles 103.65, 103.65, 119.50 degrees
Sites, in units of the cell vectors:
Sc (0.000, 0.000, 0.000)
Cu (0.000, 0.500, 0.500)
Cu (0.500, 0.000, 0.500)
Pt (0.500, 0.500, 0.000)

Properties
The value obtained for the total energy is -5.83 eV/atom. For the size of the total moment, the calculation gives 0.00 μB/f.u. The value obtained for the volume is 14.63 A^3/atom.

=====

Sc2CuPt | GGA-PBEsol | relaxed

Cell lengths 3.254, 4.563, 4.563 Å; angles 90.00, 90.00, 90.00 degrees
Sites, in units of the cell vectors:
Sc (0.000, 0.000, 0.000)
Sc (0.000, 0.500, 0.499)
Cu (0.500, 0.500, 0.999)
Pt (0.500, 0.000, 0.500)

Properties
The value obtained for the total energy is -6.89 eV/atom. For the size of the total moment, the calculation gives 0.00 μB/f.u. The value obtained for the volume is 16.94 A^3/atom.

=====

ScCu2Pt | GGA-PBEsol | relaxed

Cell lengths 4.753, 4.753, 4.753 Å; angles 132.77, 132.77, 69.01 degrees
Sites, in units of the cell vectors:
Sc (0.000, 0.000, 0.000)
Cu (0.250, 0.750, 0.500)
Cu (0.500, 0.500, 0.000)
Pt (0.750, 0.250, 0.500)

Properties
The value obtained for the total energy is -6.11 eV/atom. For the size of the total moment, the calculation gives 0.00 μB/f.u. The value obtained for the volume is 14.20 A^3/atom.

=====

Which value of size of the total moment does entry 1 give? 0.00 μB/f.u.

=====

size of the total moment of number 2 (ScCu2Pt)? 0.00 μB/f.u.